No. 1
YHfB2Pb (GGA-PBE, optimized geometry); magnetic moment = 0.000 μB per atom; space group = P4/mmm (123); D(E_F) = 4.8 states/eV/f.u.; energy of formation = 1823.6 meV per atom
1.0
4.7050 0.0000 0.0000
0.0000 4.7050 0.0000
0.0000 0.0000 5.4680
Y Hf B Pb
1 1 2 1
Cartesian
0.0000 0.0000 0.0000
2.3525 2.3525 0.0000
0.0000 2.3525 2.7340
2.3525 0.0000 2.7340
2.3525 2.3525 2.7340

=====

No. 2
CdAgAs2 (GGA-PBE, optimized geometry); magnetic moment = 0.000 μB per atom; space group = Pmmm (47); D(E_F) = 1.7 states/eV/f.u.; energy of formation = 234.5 meV per atom
1.0
4.0607 0.0000 0.0000
0.0000 4.2690 0.0000
0.0000 0.0000 4.6752
Cd Ag As
1 1 2
Cartesian
0.0000 0.0000 0.0000
2.0303 2.1345 0.0000
0.0000 2.1345 2.3376
2.0303 0.0000 2.3376

=====

No. 3
FeTcP2Cl (GGA-PBE, optimized geometry); magnetic moment = 0.361 μB per atom; space group = P4/mmm (123); raw formation energy = 836.6 meV/atom; D(E_F) = 3.2 states/eV/f.u.; energy above the lowest structure with this stoichiometry = 94 meV per atom
1.0
4.3178 0.0000 0.0000
0.0000 4.3178 0.0000
0.0000 0.0000 4.7788
Fe Tc P Cl
1 1 2 1
Cartesian
0.0000 0.0000 0.0000
2.1589 2.1589 2.3894
0.0000 2.1589 0.0000
2.1589 0.0000 0.0000
0.0000 0.0000 2.3894

=====

No. 4
SrAc2Sn2 (GGA-PBE, optimized geometry); magnetic moment = 0.000 μB per atom; space group = C2/c (15); D(E_F) = 2.7 states/eV/f.u.; energy of formation = -428.1 meV per atom; energy above the lowest structure with this stoichiometry = 244 meV per atom
1.0
5.8930 -6.5066 0.0000
5.8930 6.5066 0.0000
-3.4306 0.0000 5.3669
Sr Ac Sn
2 4 4
Cartesian
3.3201 4.8508 4.0251
5.0354 -4.8508 1.3417
3.6389 1.5042 0.4110
1.9237 -1.5042 3.0944
6.4318 1.5042 2.2724
4.7165 -1.5042 4.9559
5.0354 4.6045 1.3417
3.3201 1.4645 4.0251
5.0354 -1.4645 1.3417
3.3201 -4.6045 4.0251

=====

No. 5
SrPm4PrSe8 (GGA-PBE, optimized geometry); magnetic moment = 0.000 μB per atom; space group = R3m (160); raw formation energy = -1804.1 meV/atom; D(E_F) = 4.0 states/eV/f.u.
1.0
4.3648 2.5200 7.1675
-4.3648 2.5200 7.1675
0.0000 -5.0400 7.1675
Sr Pm Pr Se
1 4 1 8
Cartesian
0.0000 0.0000 0.0000
-2.2122 -1.2772 9.8588
0.0000 0.0000 5.3991
2.2122 -1.2772 9.8588
0.0000 2.5544 9.8588
0.0000 0.0000 13.4950
0.0000 -2.3807 11.5865
-2.0618 1.1904 11.5865
0.0000 0.0000 8.2495
-1.9859 -1.1466 15.3627
2.0618 1.1904 11.5865
0.0000 0.0000 18.5631
1.9859 -1.1466 15.3627
0.0000 2.2931 15.3627

=====

No. 6
Ca3SiCl (GGA-PBE, optimized geometry); magnetic moment = 0.000 μB per atom; space group = Pm-3m (221); raw formation energy = -550.1 meV/atom; D(E_F) = 3.1 states/eV/f.u.; energy above the lowest structure with this stoichiometry = 0 meV per atom
1.0
5.6862 0.0000 0.0000
0.0000 5.6862 0.0000
0.0000 0.0000 5.6862
Ca Si Cl
3 1 1
Cartesian
0.0000 0.0000 2.8431
0.0000 2.8431 0.0000
2.8431 0.0000 0.0000
0.0000 0.0000 0.0000
2.8431 2.8431 2.8431

=====

No. 7
Li4Ag3 (GGA-PBE, optimized geometry); magnetic moment = 0.000 μB per atom; space group = P6/mmm (191); D(E_F) = 2.0 states/eV/f.u.; energy of formation = -125.0 meV per atom
1.0
5.4781 0.0000 0.0000
-2.7390 4.7441 0.0000
0.0000 0.0000 5.0155
Li Ag
4 3
Cartesian
0.0000 0.0000 1.2199
0.0000 0.0000 3.7956
0.0000 3.1628 2.5078
2.7390 1.5814 2.5078
-1.3695 2.3721 0.0000
2.7390 0.0000 0.0000
1.3695 2.3721 0.0000

=====

No. 8
LaEr2ScS4 (GGA-PBE, optimized geometry); magnetic moment = 0.000 μB per atom; space group = P2/m (10); raw formation energy = -1942.9 meV/atom; D(E_F) = 5.1 states/eV/f.u.
1.0
6.7791 0.0000 0.0000
0.0000 3.8653 0.0000
-2.2085 0.0000 6.4455
La Er Sc S
1 2 1 4
Cartesian
0.0000 0.0000 0.0000
2.2853 0.0000 3.2228
3.3896 1.9327 0.0000
-1.1043 1.9327 3.2228
0.0714 0.0000 4.7434
1.1815 1.9327 1.7330
3.3891 1.9327 4.7125
4.4992 0.0000 1.7021

=====

No. 9
La2GaPb (GGA-PBE, optimized geometry); magnetic moment = 0.000 μB per atom; space group = P4/mmm (123); D(E_F) = 2.4 states/eV/f.u.; energy of formation = -570.4 meV per atom; energy above the lowest structure with this stoichiometry = 35 meV per atom
1.0
3.5990 0.0000 0.0000
0.0000 3.5990 0.0000
0.0000 0.0000 8.9909
La Ga Pb
2 1 1
Cartesian
0.0000 0.0000 2.0498
0.0000 0.0000 6.9411
1.7995 1.7995 0.0000
1.7995 1.7995 4.4955

=====

No. 10
AlTlI2N (GGA-PBE, optimized geometry); magnetic moment = 0.267 μB per atom; space group = P4/mmm (123); raw formation energy = 803.2 meV/atom; D(E_F) = 3.9 states/eV/f.u.; energy above the lowest structure with this stoichiometry = 896 meV per atom
1.0
6.2952 0.0000 0.0000
0.0000 6.2952 0.0000
0.0000 0.0000 4.3070
Al Tl I N
1 1 2 1
Cartesian
0.0000 0.0000 0.0000
3.1476 3.1476 2.1535
0.0000 3.1476 2.1535
3.1476 0.0000 2.1535
3.1476 3.1476 0.0000

=====

No. 11
Pm2NdDy (GGA-PBE, optimized geometry); magnetic moment = 0.000 μB per atom; space group = P4/mmm (123); D(E_F) = 6.6 states/eV/f.u.; energy of formation = 16.2 meV per atom; energy above the lowest structure with this stoichiometry = 2 meV per atom
1.0
5.1301 0.0000 0.0000
0.0000 5.1301 0.0000
0.0000 0.0000 5.1372
Pm Nd Dy
2 1 1
Cartesian
0.0000 2.5651 0.0000
2.5651 0.0000 0.0000
0.0000 0.0000 2.5686
2.5651 2.5651 2.5686

=====

No. 12
KLaCdHg (GGA-PBE, optimized geometry); magnetic moment = 0.000 μB per atom; space group = F-43m (216); D(E_F) = 4.3 states/eV/f.u.; energy of formation = -143.1 meV per atom
1.0
0.0000 3.9752 3.9752
3.9752 0.0000 3.9752
3.9752 3.9752 0.0000
K La Cd Hg
1 1 1 1
Cartesian
0.0000 0.0000 0.0000
3.9752 3.9752 3.9752
5.9628 5.9628 5.9628
1.9876 1.9876 1.9876

=====

No. 13
RbNaS5 (GGA-PBE, optimized geometry); magnetic moment = 0.000 μB per atom; space group = C2/c (15); raw formation energy = -504.7 meV/atom
1.0
4.4558 -5.2540 0.0000
4.4558 5.2540 0.0000
-0.6736 0.0000 9.2307
Rb Na S
2 2 10
Cartesian
3.9506 3.7321 6.9230
4.2874 -3.7321 2.3077
4.4558 0.0000 0.0000
4.1190 0.0000 4.6153
3.1077 3.7001 3.5429
2.2766 0.7122 6.6634
4.2874 2.5286 2.3077
5.4672 3.7001 1.0725
2.6134 -0.7122 2.0481
5.6246 0.7122 7.1826
2.7708 -3.7001 8.1582
3.9506 -2.5286 6.9230
5.9615 -0.7122 2.5673
5.1304 -3.7001 5.6878

=====

No. 14
AgTePd14 (GGA-PBE, optimized geometry); magnetic moment = 0.000 μB per atom; space group = Amm2 (38); raw formation energy = -41.8 meV/atom; D(E_F) = 28.6 states/eV/f.u.
1.0
9.2243 0.0000 0.0000
0.0000 2.8873 4.7881
0.0000 -2.8873 4.7881
Ag Te Pd
1 1 14
Cartesian
0.0000 0.0000 0.0000
0.0000 0.0000 4.8174
0.0000 -1.4344 2.4170
0.0000 1.4344 2.4170
2.3094 -1.4278 5.4472
2.3094 1.4278 5.4472
2.3342 0.0000 7.8502
2.3505 0.0000 3.0264
4.6121 0.0000 1.3356
4.6121 -1.4393 3.7489
4.6121 1.4393 3.7489
4.6121 0.0000 6.1546
6.8738 0.0000 3.0264
6.8900 0.0000 7.8502
6.9149 -1.4278 5.4472
6.9149 1.4278 5.4472

=====

No. 15
Sm6Dy3HoTh2 (GGA-PBE, optimized geometry); magnetic moment = 0.000 μB per atom; space group = C2/m (12); D(E_F) = 17.2 states/eV/f.u.; energy of formation = 33.6 meV per atom
1.0
3.1093 -5.3786 0.0000
3.1093 5.3786 0.0000
-2.0752 0.0000 11.7545
Sm Dy Ho Th
6 3 1 2
Cartesian
-0.0113 1.8069 8.8413
1.0182 0.0000 2.9190
-0.0113 -1.8069 8.8413
4.1546 1.8069 2.9132
3.1251 0.0000 8.8355
4.1546 -1.8069 2.9132
-1.0376 0.0000 5.8772
2.0717 1.7926 5.8772
2.0717 -1.7926 5.8772
3.1093 0.0000 0.0000
3.1093 3.5878 0.0000
3.1093 -3.5878 0.0000

=====

No. 16
AcPrSmHo (GGA-PBE, optimized geometry); magnetic moment = 0.000 μB per atom; space group = P3m1 (156); D(E_F) = 4.7 states/eV/f.u.; energy of formation = 45.8 meV per atom; energy above the lowest structure with this stoichiometry = 0 meV per atom
1.0
3.7439 0.0000 0.0000
-1.8720 3.2423 0.0000
0.0000 0.0000 11.9744
Ac Pr Sm Ho
1 1 1 1
Cartesian
0.0000 0.0000 0.0000
0.0000 2.1616 3.1709
1.8720 1.0808 6.1114
0.0000 2.1616 8.9292

=====

No. 17
ZnPt2 (GGA-PBE, optimized geometry); magnetic moment = 0.000 μB per atom; space group = P-62m (189); D(E_F) = 3.0 states/eV/f.u.; energy of formation = -343.8 meV per atom
1.0
7.4709 0.0000 0.0000
-3.7354 6.4699 0.0000
0.0000 0.0000 2.8048
Zn Pt
3 6
Cartesian
0.0000 0.0000 0.0000
0.0000 4.3133 1.4024
3.7354 2.1566 1.4024
-1.1056 1.9149 1.4024
-2.3506 4.0713 0.0000
2.2111 0.0000 1.4024
1.3848 2.3986 0.0000
4.7012 0.0000 0.0000
2.6299 4.5551 1.4024

=====

No. 18
Li2SnI4 (GGA-PBE, optimized geometry); magnetic moment = 0.000 μB per atom; space group = P-1 (2); raw formation energy = -885.0 meV/atom; D(E_F) = 0.0 states/eV/f.u.; energy above the lowest structure with this stoichiometry = 0 meV per atom
1.0
4.6805 0.0000 0.0000
-0.0042 7.8468 0.0000
-2.3341 -1.6976 7.3186
Li Sn I
2 1 4
Cartesian
0.0075 0.0746 2.5970
2.3347 6.0747 4.7216
2.3382 3.9234 0.0000
-0.0016 2.7204 1.8270
0.0001 -0.4000 5.3967
2.3421 6.5493 1.9219
2.3438 3.4288 5.4916

=====

No. 19
MgAlTlBi (GGA-PBE, optimized geometry); magnetic moment = 0.000 μB per atom; space group = F-43m (216); D(E_F) = 2.6 states/eV/f.u.; energy of formation = 107.0 meV per atom
1.0
0.0000 3.7255 3.7255
3.7255 0.0000 3.7255
3.7255 3.7255 0.0000
Mg Al Tl Bi
1 1 1 1
Cartesian
0.0000 0.0000 0.0000
3.7255 3.7255 3.7255
5.5882 5.5882 5.5882
1.8627 1.8627 1.8627

=====

No. 20
Dy2TcPt (GGA-PBE, optimized geometry); magnetic moment = 0.000 μB per atom; space group = P4/mmm (123); D(E_F) = 4.6 states/eV/f.u.; energy of formation = -578.8 meV per atom
1.0
3.5024 0.0000 0.0000
0.0000 3.5024 0.0000
0.0000 0.0000 6.7327
Dy Tc Pt
2 1 1
Cartesian
0.0000 0.0000 1.6601
0.0000 0.0000 5.0726
1.7512 1.7512 0.0000
1.7512 1.7512 3.3663

=====

No. 21
CeScSe3 (GGA-PBE, optimized geometry); magnetic moment = 0.194 μB per atom; space group = Pnma (62); raw formation energy = -1749.1 meV/atom; D(E_F) = 6.3 states/eV/f.u.
1.0
8.4795 0.0000 0.0000
0.0000 3.9653 0.0000
0.0000 0.0000 14.5778
Ce Sc Se
4 4 12
Cartesian
1.1184 0.9913 2.8458
3.1213 2.9740 10.1347
5.3582 0.9913 4.4431
7.3611 2.9740 11.7320
1.5291 2.9740 6.6729
2.7107 0.9913 13.9619
5.7689 2.9740 0.6160
6.9504 0.9913 7.9049
0.0054 2.9740 8.9301
1.3359 0.9913 11.6067
1.3575 2.9740 0.6342
2.8822 0.9913 7.9231
2.9038 2.9740 4.3178
4.2344 0.9913 1.6411
4.2451 2.9740 12.9367
5.5757 0.9913 10.2601
5.5973 2.9740 6.6548
7.1220 0.9913 13.9437
7.1436 2.9740 2.9712
8.4742 0.9913 5.6478

=====

No. 22
Th2FeRe3 (GGA-PBE, optimized geometry); magnetic moment = 0.422 μB per atom; space group = C2/m (12); D(E_F) = 7.2 states/eV/f.u.; energy of formation = -70.6 meV per atom
1.0
4.6221 -2.6938 0.0000
4.6221 2.6938 0.0000
-3.0792 0.0000 4.6735
Th Fe Re
2 1 3
Cartesian
0.0015 0.0000 1.7512
6.1635 0.0000 2.9223
3.0825 0.0000 2.3367
2.3111 1.3469 0.0000
2.3111 -1.3469 0.0000
4.6221 0.0000 0.0000

=====

No. 23
Pm3Ge4Ir4 (GGA-PBE, optimized geometry); magnetic moment = 0.000 μB per atom; space group = Immm (71); D(E_F) = 5.9 states/eV/f.u.; energy of formation = -815.1 meV per atom; energy above the lowest structure with this stoichiometry = 0 meV per atom
1.0
-2.0592 2.1167 12.6522
2.0592 -2.1167 12.6522
2.0592 2.1167 -12.6522
Pm Ge Ir
3 4 4
Cartesian
0.0000 0.0000 0.0000
2.0592 0.0000 8.9681
0.0000 2.1167 3.6842
2.0592 0.0000 4.9544
0.0000 0.0000 11.4073
0.0000 0.0000 13.8972
0.0000 2.1167 7.6978
2.0592 0.0000 2.4907
0.0000 0.0000 6.3258
0.0000 0.0000 18.9787
0.0000 2.1167 10.1616

=====

No. 24
SiNi2Pt (GGA-PBE, optimized geometry); magnetic moment = 0.000 μB per atom; space group = Fmmm (69); raw formation energy = -478.8 meV/atom; D(E_F) = 2.0 states/eV/f.u.
1.0
0.0000 3.7058 3.7355
3.5509 0.0000 3.7355
3.5509 3.7058 0.0000
Si Ni Pt
2 4 2
Cartesian
3.5509 1.7197 3.7355
3.5509 5.6920 3.7355
3.5509 3.7058 1.5779
1.7754 1.8529 1.8678
5.3263 5.5587 5.6033
3.5509 3.7058 5.8931
5.0199 3.7058 3.7355
2.0818 3.7058 3.7355

=====

No. 25
La2Re2Si2C (GGA-PBE, optimized geometry); magnetic moment = 0.000 μB per atom; space group = C2/m (12); raw formation energy = -552.2 meV/atom; D(E_F) = 3.5 states/eV/f.u.
1.0
5.6718 -2.0590 0.0000
5.6718 2.0590 0.0000
-4.5514 0.0000 5.7624
La Re Si C
2 2 2 1
Cartesian
-0.5831 0.0000 1.7549
7.3753 0.0000 4.0074
-0.7759 0.0000 5.2715
7.5681 0.0000 0.4909
2.5940 0.0000 1.6724
4.1982 0.0000 4.0900
5.6718 0.0000 0.0000